The following is a PBE calculation of AcEuZnPb after structural relaxation, from Alexandria via LeMat-Bulk.

Calculated values
- ΔE_f (eV/f.u.) = -1.575

Lattice parameters (Å, degrees): 5.644 5.644 5.644 60.00 60.00 60.00
Fractional coordinates of all 4 atoms:
Pb: 0.500 0.500 0.500
Eu: 0.750 0.750 0.750
Ac: 0.250 0.250 0.250
Zn: 0.000 0.000 0.000